Record 1
Material: Sm2AlGe4Rh3
Method: DFT, GGA-PBE
State: relaxed

Cell: 4.207 4.207 10.479 Å, 90.00 90.00 90.00°
Fractional positions:
Ge: 0.500 0.000 0.645
Ge: 0.000 0.000 0.000
Ge: 0.500 0.500 0.000
Ge: 0.000 0.500 0.355
Rh: 0.000 0.000 0.500
Rh: 0.500 0.000 0.877
Rh: 0.000 0.500 0.123
Sm: 0.500 0.000 0.241
Sm: 0.000 0.500 0.759
Al: 0.500 0.500 0.500

Output
The space-group type is No. 115. The value obtained for the final energy is -61.55 eV per cell.

---

Record 2
Material: La5Nd2Er4
Method: DFT, GGA-PBE
State: relaxed

Cell: 3.572 9.304 12.882 Å, 111.17 97.97 90.00°
Fractional positions:
Nd: 0.732 0.732 0.464
Nd: 0.268 0.268 0.536
La: 0.856 0.056 0.712
La: 0.144 0.344 0.288
La: 0.856 0.656 0.712
La: 0.144 0.944 0.288
La: 0.500 0.000 0.000
Er: 0.000 0.318 0.000
Er: 0.000 0.682 0.000
Er: 0.596 0.596 0.191
Er: 0.404 0.404 0.809

Output
The space-group type is No. 71. The value obtained for the final energy is -50.72 eV per cell.

---

Record 3
Material: LiSi2Os
Method: DFT, GGA-PBE
State: relaxed

Cell: 2.924 2.924 7.047 Å, 90.00 90.00 90.00°
Fractional positions:
Os: 0.500 0.500 0.750
Si: 0.000 0.000 0.539
Si: 0.000 0.000 0.961
Li: 0.500 0.500 0.250

Output
The space-group type is No. 123. The value obtained for the final energy is -24.58 eV per cell.